Density functional theory data (PBE-GGA) for a relaxed Tb3TePtBr crystal.

abc: 8.714 4.070 9.645
angles: 90.00 104.41 90.00
Element x y z (fractional)
Tb 0.059 0.250 0.351
Tb 0.170 0.250 0.977
Tb 0.391 0.750 0.609
Tb 0.609 0.250 0.391
Tb 0.830 0.750 0.023
Tb 0.941 0.750 0.649
Te 0.306 0.750 0.260
Te 0.694 0.250 0.740
Pt 0.169 0.250 0.651
Pt 0.831 0.750 0.349
Br 0.373 0.750 0.899
Br 0.627 0.250 0.101

## Properties
As for the magnetic moment: 0.000 μB per atom. The space-group type is No. 11. The formation energy without anion corrections comes out at -1094 meV/atom. Its crystal system is monoclinic.

***

Density functional theory data (PBE-GGA) for a relaxed Tc3PtBr crystal.

abc: 4.490 4.490 4.490
angles: 90.00 90.00 90.00
Element x y z (fractional)
Tc 0.000 0.000 0.500
Tc 0.000 0.500 0.000
Tc 0.500 0.000 0.000
Pt 0.500 0.500 0.500
Br 0.000 0.000 0.000

## Properties
As for the magnetic moment: 0.000 μB per atom. The space-group type is No. 221. The formation energy without anion corrections comes out at 1602 meV/atom. Its crystal system is cubic.

***

Density functional theory data (PBE-GGA) for a relaxed Tc2PtBr crystal.

abc: 3.184 3.184 6.507
angles: 90.00 90.00 90.00
Element x y z (fractional)
Tc 0.000 0.000 0.220
Tc 0.000 0.000 0.780
Pt 0.500 0.500 0.000
Br 0.500 0.500 0.500

## Properties
As for the magnetic moment: 0.000 μB per atom. The space-group type is No. 123. The formation energy without anion corrections comes out at 630 meV/atom. Its crystal system is tetragonal.

***

Density functional theory data (PBE-GGA) for a relaxed Tc2PtBr crystal.

abc: 5.238 5.238 4.715
angles: 103.19 103.19 31.81
Element x y z (fractional)
Tc 0.000 0.000 0.000
Tc 0.691 0.691 0.338
Pt 0.256 0.256 0.902
Br 0.473 0.473 0.541

## Properties
As for the magnetic moment: 0.000 μB per atom. The space-group type is No. 8. The formation energy without anion corrections comes out at 573 meV/atom. Its crystal system is monoclinic.

***

Density functional theory data (PBE-GGA) for a relaxed TcPtBr2 crystal.

abc: 3.169 4.342 5.994
angles: 90.00 90.00 90.00
Element x y z (fractional)
Tc 0.000 0.000 0.000
Pt 0.500 0.000 0.500
Br 0.000 0.500 0.500
Br 0.500 0.500 0.000

## Properties
As for the magnetic moment: 0.851 μB per atom. The space-group type is No. 47. The formation energy without anion corrections comes out at 815 meV/atom. Its crystal system is orthorhombic.

***

Density functional theory data (PBE-GGA) for a relaxed Tc2PtBr crystal.

abc: 5.161 5.161 3.066
angles: 101.40 101.40 119.37
Element x y z (fractional)
Tc 0.000 0.500 0.000
Tc 0.500 0.000 0.000
Pt 0.000 0.000 0.500
Br 0.500 0.500 0.500

## Properties
As for the magnetic moment: 0.000 μB per atom. The space-group type is No. 12. The formation energy without anion corrections comes out at 936 meV/atom. Its crystal system is monoclinic.

***

Density functional theory data (PBE-GGA) for a relaxed TcPtBr2 crystal.

abc: 3.067 3.067 7.876
angles: 90.00 90.00 90.00
Element x y z (fractional)
Tc 0.000 0.000 0.000
Pt 0.000 0.000 0.500
Br 0.500 0.500 0.208
Br 0.500 0.500 0.792

## Properties
As for the magnetic moment: 0.089 μB per atom. The space-group type is No. 123. The formation energy without anion corrections comes out at 892 meV/atom. Its crystal system is tetragonal.

***

Density functional theory data (PBE-GGA) for a relaxed TcPtBr2 crystal.

abc: 3.109 3.109 8.804
angles: 90.00 90.00 90.00
Element x y z (fractional)
Tc 0.000 0.000 0.000
Pt 0.500 0.500 0.819
Br 0.000 0.000 0.606
Br 0.500 0.500 0.192

## Properties
As for the magnetic moment: 0.000 μB per atom. The space-group type is No. 99. The formation energy without anion corrections comes out at 308 meV/atom. Its crystal system is tetragonal.